# CoNiAg | Alexandria | PBE | optimized geometry
# - ΔH_f (0 K): 0.29 eV/atom
# - Energy above the most stable polymorph in this dataset: 42 meV/atom
# - Total magnetic moment: 0.767 μB/atom
# - DOS at the Fermi energy: 3.87 states/eV/cell
data_CoNiAg
_cell_length_a 2.6717
_cell_length_b 2.6717
_cell_length_c 6.5125
_cell_angle_alpha 90.00
_cell_angle_beta 90.00
_cell_angle_gamma 120.00
_space_group_name_H-M_alt 'P 3 m 1'
_space_group_IT_number 156
_space_group_name_Hall 'P 3 -2"'
loop_
_atom_site_label
_atom_site_type_symbol
_atom_site_fract_x
_atom_site_fract_y
_atom_site_fract_z
Co1 Co 0.0000 0.0000 0.0000
Ni1 Ni 0.6667 0.3333 0.2879
Ag1 Ag 0.3333 0.6667 0.6418